Below is crystalline Nd3GaH at its relaxed geometry, with properties calculated at the PBE-GGA level.

Cell lengths 4.9153, 4.9153, 4.9153 Å; angles 90.00, 90.00, 90.00 degrees
Fractional coordinates of all 5 atoms:
1 H 0.0000 0.0000 0.0000
2 Nd 0.0000 0.5000 0.0000
3 Nd 0.0000 0.0000 0.5000
4 Nd 0.5000 0.0000 0.0000
5 Ga 0.5000 0.5000 0.5000

## Properties
Magnetic moment, μB/atom: 0.003
Crystal system: cubic
E, eV per atom: -4.45

=====

Below is crystalline Nd5Ga2H at its relaxed geometry, with properties calculated at the PBE-GGA level.

Cell lengths 7.0226, 7.0227, 6.6251 Å; angles 121.96, 121.96, 90.03 degrees
Fractional coordinates of all 8 atoms:
1 Nd 0.7491 0.2502 0.9993
2 Nd 0.2506 0.2506 0.9999
3 Nd 0.7492 0.7492 0.9996
4 Nd 0.2502 0.7491 0.9993
5 Nd 0.7548 0.7548 0.5091
6 Ga 0.2520 0.7518 0.5040
7 Ga 0.7518 0.2520 0.5040
8 H 0.0193 0.0193 0.0388

## Properties
Magnetic moment, μB/atom: 0.000
Crystal system: tetragonal
E, eV per atom: -4.35

=====

Below is crystalline Nd12Ga3H5 at its relaxed geometry, with properties calculated at the PBE-GGA level.

Cell lengths 13.7475, 13.7475, 13.7475 Å; angles 109.47, 109.47, 109.47 degrees
Fractional coordinates of all 80 atoms:
1 Ga 0.7500 0.3750 0.1250
2 Ga 0.8750 0.7500 0.1250
3 Ga 0.3750 0.7500 0.6250
4 Ga 0.2500 0.1250 0.3750
5 Ga 0.8750 0.1250 0.2500
6 Ga 0.3750 0.6250 0.2500
7 Ga 0.6250 0.3750 0.7500
8 Ga 0.1250 0.8750 0.7500
9 Ga 0.7500 0.8750 0.6250
10 Ga 0.6250 0.2500 0.3750
11 Ga 0.1250 0.2500 0.8750
12 Ga 0.2500 0.6250 0.8750
13 H 0.1250 0.3750 0.2500
14 H 0.0000 0.5000 0.0000
15 H 0.0000 0.0000 0.0000
16 H 0.3750 0.2500 0.1250
17 H 0.5000 0.0000 0.5000
18 H 0.5000 0.5000 0.0000
19 H 0.1250 0.7500 0.3750
20 H 0.7500 0.1250 0.8750
21 H 0.7500 0.6250 0.3750
22 H 0.3750 0.1250 0.7500
23 H 0.6250 0.8750 0.2500
24 H 0.5000 0.5000 0.5000
25 H 0.5000 0.0000 0.0000
26 H 0.0000 0.0000 0.5000
27 H 0.2500 0.3750 0.6250
28 H 0.2500 0.8750 0.1250
29 H 0.0000 0.5000 0.5000
30 H 0.8750 0.2500 0.6250
31 H 0.6250 0.7500 0.8750
32 H 0.8750 0.6250 0.7500
33 Nd 0.7110 0.1142 0.0216
34 Nd 0.3106 0.5216 0.4073
35 Nd 0.9784 0.3858 0.2890
36 Nd 0.5216 0.2110 0.1142
37 Nd 0.5967 0.7110 0.6894
38 Nd 0.9784 0.5927 0.1894
39 Nd 0.3106 0.7890 0.4033
40 Nd 0.0927 0.9033 0.1142
41 Nd 0.5927 0.9784 0.6894
42 Nd 0.7110 0.5967 0.1894
43 Nd 0.7890 0.4784 0.3858
44 Nd 0.8106 0.9073 0.0216
45 Nd 0.1142 0.7110 0.5216
46 Nd 0.3858 0.4073 0.0967
47 Nd 0.0967 0.9073 0.3858
48 Nd 0.4033 0.1142 0.5927
49 Nd 0.0967 0.1894 0.2110
50 Nd 0.4784 0.6894 0.0927
51 Nd 0.8106 0.9033 0.2890
52 Nd 0.1142 0.4033 0.0927
53 Nd 0.3858 0.9784 0.7890
54 Nd 0.5927 0.6142 0.4033
55 Nd 0.9073 0.8106 0.5216
56 Nd 0.7890 0.3106 0.9033
57 Nd 0.4073 0.3858 0.5967
58 Nd 0.0927 0.1894 0.4784
59 Nd 0.2110 0.6894 0.0967
60 Nd 0.1894 0.0967 0.7110
61 Nd 0.6142 0.0216 0.2110
62 Nd 0.8858 0.5967 0.9073
63 Nd 0.5216 0.3106 0.9073
64 Nd 0.5967 0.8858 0.4073
65 Nd 0.9033 0.8106 0.7890
66 Nd 0.9033 0.0927 0.6142
67 Nd 0.8858 0.2890 0.4784
68 Nd 0.1894 0.0927 0.9784
69 Nd 0.6142 0.5927 0.9033
70 Nd 0.4073 0.0216 0.3106
71 Nd 0.2890 0.4033 0.8106
72 Nd 0.2110 0.5216 0.6142
73 Nd 0.9073 0.0967 0.8858
74 Nd 0.6894 0.2110 0.5967
75 Nd 0.4784 0.7890 0.8858
76 Nd 0.0216 0.4073 0.8106
77 Nd 0.4033 0.2890 0.3106
78 Nd 0.0216 0.6142 0.7110
79 Nd 0.6894 0.4784 0.5927
80 Nd 0.2890 0.8858 0.9784

## Properties
Magnetic moment, μB/atom: 0.000
Crystal system: cubic
E, eV per atom: -4.44

=====

Below is crystalline Nd5Ga3H at its relaxed geometry, with properties calculated at the PBE-GGA level.

Cell lengths 7.9213, 7.9213, 9.1398 Å; angles 115.68, 115.68, 90.00 degrees
Fractional coordinates of all 18 atoms:
1 Nd 0.5000 0.5000 0.0000
2 Nd 0.0000 0.0000 0.0000
3 Nd 0.1785 0.0186 0.6971
4 Nd 0.5186 0.6785 0.6971
5 Nd 0.6785 0.1785 0.6971
6 Nd 0.0186 0.5186 0.6971
7 Nd 0.8215 0.9814 0.3029
8 Nd 0.4814 0.3215 0.3029
9 Nd 0.3215 0.8215 0.3029
10 Nd 0.9814 0.4814 0.3029
11 Ga 0.2500 0.2500 0.5000
12 Ga 0.7500 0.7500 0.5000
13 Ga 0.1171 0.3829 0.0000
14 Ga 0.8829 0.6171 0.0000
15 Ga 0.6171 0.1171 0.0000
16 Ga 0.3829 0.8829 0.0000
17 H 0.2500 0.7500 0.5000
18 H 0.7500 0.2500 0.5000

## Properties
Magnetic moment, μB/atom: 0.000
Crystal system: tetragonal
E, eV per atom: -4.53

=====

Below is crystalline Nd4GaH at its relaxed geometry, with properties calculated at the PBE-GGA level.

Cell lengths 3.7722, 10.0238, 8.5126 Å; angles 96.14, 90.00, 90.00 degrees
Fractional coordinates of all 12 atoms:
1 Nd 0.6413 0.6868 0.5325
2 Nd 0.6413 0.8132 0.9675
3 Nd 0.8204 0.0066 0.3152
4 Nd 0.8204 0.4934 0.1848
5 Nd 0.1796 0.9934 0.6848
6 Nd 0.1796 0.5066 0.8152
7 Nd 0.3587 0.1868 0.0325
8 Nd 0.3587 0.3132 0.4675
9 Ga 0.7733 0.2500 0.7500
10 Ga 0.2267 0.7500 0.2500
11 H 0.0000 0.5000 0.5000
12 H 0.0000 0.0000 0.0000

## Properties
Magnetic moment, μB/atom: 0.000
Crystal system: monoclinic
E, eV per atom: -4.44

=====

Below is crystalline Nd2GaNiH at its relaxed geometry, with properties calculated at the PBE-GGA level.

Cell lengths 4.2246, 6.1705, 7.9718 Å; angles 105.01, 90.00, 90.00 degrees
Fractional coordinates of all 10 atoms:
1 Nd 0.7500 0.7727 0.5892
2 Nd 0.7500 0.7595 0.0329
3 Nd 0.2500 0.2273 0.4108
4 Nd 0.2500 0.2405 0.9671
5 Ga 0.2500 0.6771 0.2950
6 Ga 0.7500 0.3229 0.7050
7 Ni 0.2500 0.5575 0.7655
8 Ni 0.7500 0.4425 0.2345
9 H 0.2500 0.8297 0.8358
10 H 0.7500 0.1703 0.1642

## Properties
Magnetic moment, μB/atom: 0.000
Crystal system: monoclinic
E, eV per atom: -4.81

=====

Here are the calculated V numbers, same order: 23.75; 27.07; 25.00; 25.18; 26.67; 20.07 (Å³/atom).